No. 1
## Ba2Mg3Cd12Ag (PBE-GGA)

Data for a relaxed structure of Ba2Mg3Cd12Ag.

Calculated values
* magnetization: 0.000 μB per atom
* crystal system: trigonal

Cell: 6.9632 6.9632 35.8858 Å, 90.00 90.00 120.00°
Closest atoms and distances in Å follow each position.
Space group R-3m (No. 166, hexagonal axes)
Unique sites:
Ba1 0.0000 0.0000 0.1441 [6 per cell]  12 Cd 3.71-3.76, 3 Ag 4.10
Mg1 0.0000 0.5000 0.0000 [9 per cell]  4 Cd 2.88
Cd1 0.0237 0.5119 0.1048 [18 per cell]  1 Ag 2.90, 4 Cd 2.93-3.23
Cd2 0.0517 0.5258 0.6144 [18 per cell]  2 Mg 2.88, 4 Cd 2.93-2.94
Ag1 0.0000 0.0000 0.5000 [3 per cell]  6 Cd 2.90



No. 2
## Ba3Mg2Cd4Ag2 (PBE-GGA)

Data for a relaxed structure of Ba3Mg2Cd4Ag2.

Calculated values
* magnetization: 0.000 μB per atom
* crystal system: trigonal

Cell: 5.0719 5.0719 16.1692 Å, 90.00 90.00 120.00°
Closest atoms and distances in Å follow each position.
Space group P-3m1 (No. 164)
Unique sites:
Ba1 0.0000 0.0000 0.0000 [1 per cell]  6 Cd 3.66, 6 Ag 3.66
Ba2 0.0000 0.0000 0.2688 [2 per cell]  6 Cd 3.54-3.64, 3 Ag 3.63, 3 Mg 3.92
Mg1 0.3333 0.6667 0.5696 [2 per cell]  4 Cd 2.87-2.99
Cd1 0.3333 0.6667 0.3923 [2 per cell]  4 Mg 2.87-2.99
Cd2 0.3333 0.6667 0.8645 [2 per cell]  3 Ag 2.93
Ag1 0.3333 0.6667 0.1360 [2 per cell]  3 Cd 2.93



ΔE_f per entry: -58 -179 meV per atom